1.
# LiTbAlHg

A geometry-optimized LiTbAlHg structure (PBE-GGA, Alexandria via LeMat-Bulk).

Calculated values
Its space group is F-43m. For the theoretical density, the calculation gives 7.55 g cm⁻³. The calculation puts the energy of formation from the pure elements at -1.31 eV per formula unit. The calculation puts the volume at 21.64 A^3/atom.

a b c (Å): 4.966 4.966 4.966
angles (deg): 60.00 60.00 60.00
Fractional positions:
Li: 0.000 0.000 0.000
Tb: 0.500 0.500 0.500
Hg: 0.250 0.250 0.250
Al: 0.750 0.750 0.750



2.
# LiAlHgTe2

A geometry-optimized LiAlHgTe2 structure (PBE-GGA, Alexandria via LeMat-Bulk).

Calculated values
Its total DFT energy (no corrections) is -0.16134 Ry per atom. Its space group is P4/mmm. For the theoretical density, the calculation gives 4.72 g cm⁻³. The calculation puts the volume at 34.46 A^3/atom.

a b c (Å): 5.874 4.993 5.874
angles (deg): 90.00 90.00 90.00
Fractional positions:
Te: 0.000 0.000 0.500
Te: 0.500 0.000 0.000
Li: 0.500 0.500 0.500
Hg: 0.000 0.000 0.000
Al: 0.000 0.500 0.000



3.
# LiAl2HgTe

A geometry-optimized LiAl2HgTe structure (PBE-GGA, Alexandria via LeMat-Bulk).

Calculated values
Its total DFT energy (no corrections) is -0.14070 Ry per atom. Its space group is P4/mmm. For the theoretical density, the calculation gives 3.74 g cm⁻³. The calculation puts the volume at 34.58 A^3/atom.

a b c (Å): 5.494 5.728 5.494
angles (deg): 90.00 90.00 90.00
Fractional positions:
Te: 0.000 0.000 0.000
Li: 0.500 0.500 0.500
Hg: 0.000 0.500 0.000
Al: 0.000 0.000 0.500
Al: 0.500 0.000 0.000